Entry 1:
This record from the Alexandria database describes a crystal of Sr2PbBr relaxed with PBEsol. The functional is SCAN.

abc: 3.9765 4.2113 8.6345
angles: 90.00 90.00 90.00
Sites, in units of the cell vectors:
Sr1 0.0000 0.0000 0.2198
Sr2 0.0000 0.0000 0.7802
Pb1 0.5000 0.5000 0.0000
Br1 0.5000 0.0000 0.5000

Output
space-group type: No. 47
energy above the most stable polymorph in this dataset: 0 meV/atom
magnetization: 0.0 μB/cell

***

Entry 2:
This record from the Alexandria database describes a crystal of SrPbBr3 relaxed with PBEsol. The functional is SCAN.

abc: 5.7668 5.7668 5.7668
angles: 90.00 90.00 90.00
Sites, in units of the cell vectors:
Sr1 0.0000 0.0000 0.0000
Pb1 0.5000 0.5000 0.5000
Br1 0.0000 0.0000 0.5000
Br2 0.0000 0.5000 0.0000
Br3 0.5000 0.0000 0.0000

Output
space-group type: No. 221
magnetization: 1.0 μB/cell

***

Entry 3:
This record from the Alexandria database describes a crystal of Sr2PbBr relaxed with PBEsol. The functional is SCAN.

abc: 5.9466 5.9466 3.8843
angles: 90.00 90.00 90.00
Sites, in units of the cell vectors:
Sr1 0.0000 0.5000 0.0000
Sr2 0.5000 0.0000 0.0000
Pb1 0.0000 0.0000 0.5115
Br1 0.5000 0.5000 0.1396

Output
space-group type: No. 99
energy above the most stable polymorph in this dataset: 13 meV/atom
magnetization: 0.0 μB/cell

***

Entry 4:
This record from the Alexandria database describes a crystal of Sr2PbBr relaxed with PBEsol. The functional is SCAN.

abc: 5.7301 5.7301 5.7301
angles: 60.00 60.00 60.00
Sites, in units of the cell vectors:
Sr1 0.0000 0.0000 0.0000
Sr2 0.2500 0.2500 0.2500
Pb1 0.5000 0.5000 0.5000
Br1 0.7500 0.7500 0.7500

Output
space-group type: No. 216
energy above the most stable polymorph in this dataset: 841 meV/atom
magnetization: 0.0 μB/cell

***

Entry 5:
This record from the Alexandria database describes a crystal of SrPbBr2 relaxed with PBEsol. The functional is SCAN.

abc: 3.6044 3.6044 11.0429
angles: 90.00 90.00 90.00
Sites, in units of the cell vectors:
Sr1 0.0000 0.0000 0.0000
Pb1 0.0000 0.0000 0.5000
Br1 0.5000 0.5000 0.1599
Br2 0.5000 0.5000 0.8401

Output
space-group type: No. 123
energy above the most stable polymorph in this dataset: 0 meV/atom
magnetization: 0.0 μB/cell

***

Entry 6:
This record from the Alexandria database describes a crystal of SrPbBr2 relaxed with PBEsol. The functional is SCAN.

abc: 6.1890 6.1890 6.1890
angles: 143.59 116.92 75.07
Sites, in units of the cell vectors:
Sr1 0.0000 0.0000 0.0000
Pb1 0.5000 0.5000 0.0000
Br1 0.2384 0.7384 0.5000
Br2 0.7616 0.2616 0.5000

Output
space-group type: No. 71
energy above the most stable polymorph in this dataset: 106 meV/atom
magnetization: 0.0 μB/cell

***

Entry 7:
This record from the Alexandria database describes a crystal of TaPb2Br relaxed with PBEsol. The functional is SCAN.

abc: 7.4591 7.4591 7.4591
angles: 155.87 143.03 44.64
Sites, in units of the cell vectors:
Ta1 0.0000 0.0000 0.0000
Pb1 0.1896 0.6896 0.5000
Pb2 0.8104 0.3104 0.5000
Br1 0.5000 0.5000 0.0000

Output
space-group type: No. 71
energy above the most stable polymorph in this dataset: 0 meV/atom
magnetization: 0.9 μB/cell

***

Entry 8:
This record from the Alexandria database describes a crystal of TaPb2Br relaxed with PBEsol. The functional is SCAN.

abc: 5.6326 5.6326 5.6326
angles: 132.81 132.81 68.95
Sites, in units of the cell vectors:
Ta1 0.0000 0.0000 0.0000
Pb1 0.2500 0.7500 0.5000
Pb2 0.7500 0.2500 0.5000
Br1 0.5000 0.5000 0.0000

Output
space-group type: No. 139
energy above the most stable polymorph in this dataset: 339 meV/atom
magnetization: 1.3 μB/cell

***

Entry 9:
This record from the Alexandria database describes a crystal of TaPb2Br relaxed with PBEsol. The functional is SCAN.

abc: 10.0502 10.0502 10.0502
angles: 19.03 19.03 19.03
Sites, in units of the cell vectors:
Ta1 0.0000 0.0000 0.0000
Pb1 0.2516 0.2516 0.2516
Pb2 0.7484 0.7484 0.7484
Br1 0.5000 0.5000 0.5000

Output
space-group type: No. 166
energy above the most stable polymorph in this dataset: 10 meV/atom
magnetization: 0.0 μB/cell

***

Entry 10:
This record from the Alexandria database describes a crystal of Ta2PbBr relaxed with PBEsol. The functional is SCAN.

abc: 4.8579 4.8579 4.8579
angles: 60.00 60.00 60.00
Sites, in units of the cell vectors:
Ta1 0.0000 0.0000 0.0000
Ta2 0.2500 0.2500 0.2500
Pb1 0.7500 0.7500 0.7500
Br1 0.5000 0.5000 0.5000

Output
space-group type: No. 216
magnetization: 0.0 μB/cell

***

Entry 11:
This record from the Alexandria database describes a crystal of Tc2PbBr relaxed with PBEsol. The functional is SCAN.

abc: 3.1306 3.1306 8.6612
angles: 90.00 90.00 121.16
Sites, in units of the cell vectors:
Tc1 0.0000 0.0000 0.2405
Tc2 0.0000 0.0000 0.7595
Pb1 0.5000 0.5000 0.5000
Br1 0.5000 0.5000 0.0000

Output
space-group type: No. 65
energy above the most stable polymorph in this dataset: 793 meV/atom
magnetization: 2.7 μB/cell

***

Entry 12:
This record from the Alexandria database describes a crystal of Tc2PbBr relaxed with PBEsol. The functional is SCAN.

abc: 4.6898 4.6898 4.6898
angles: 60.00 60.00 60.00
Sites, in units of the cell vectors:
Tc1 0.0000 0.0000 0.0000
Tc2 0.2500 0.2500 0.2500
Pb1 0.5000 0.5000 0.5000
Br1 0.7500 0.7500 0.7500

Output
space-group type: No. 216
energy above the most stable polymorph in this dataset: 942 meV/atom
magnetization: 3.0 μB/cell

***

Calculated formation energy without anion corrections (meV per atom), listed in the same order as above: -1289.9; -1227.2; -1276.9; -448.8; -1298.4; -1192.3; 402.1; 741.4; 412.1; 992.1; 1091.7; 1241.1